1.
Compound: Ca3Ac2Pd4
Source: the Alexandria database
Functional: PBE-GGA
Structure: optimized geometry

## Properties
Total magnetic moment, μB/f.u.: 0.000
E_form, eV/atom: -0.7283
VASP energy, eV/atom: -4.616

The structure in extended XYZ format:
```
18
Lattice="7.841 0.003 0.000 -2.574 7.614 0.000 0.000 0.000 8.019" Properties=species:S:1:pos:R:3 pbc="T T T"
Ca -1.287 3.807 4.009
Ca 2.633 3.809 0.000
Ca 5.216 1.904 6.631
Ca 3.971 5.715 2.621
Ca 0.051 5.713 1.388
Ca 1.296 1.903 5.398
Ac 3.979 1.488 2.578
Ac 5.208 6.131 6.587
Ac 1.288 6.129 5.441
Ac 0.059 1.487 1.432
Pd 6.505 0.593 4.245
Pd 2.682 7.026 0.236
Pd -1.238 7.024 3.773
Pd 2.585 0.592 7.783
Pd 5.588 3.688 1.028
Pd 3.599 3.931 5.038
Pd -0.321 3.929 6.991
Pd 1.668 3.686 2.981
```

2.
Compound: Na3Tl4Cd2Hg2
Source: the Alexandria database
Functional: PBE-GGA
Structure: optimized geometry

## Properties
Total magnetic moment, μB/f.u.: 0.000
E_form, eV/atom: -0.0617
VASP energy, eV/atom: -1.503

The structure in extended XYZ format:
```
11
Lattice="4.687 0.000 0.000 0.000 4.687 0.000 -2.343 -2.343 14.976" Properties=species:S:1:pos:R:3 pbc="T T T"
Na 0.000 0.000 0.000
Na 0.000 0.000 6.078
Na 2.343 2.343 8.898
Tl 0.000 2.343 11.550
Tl 2.343 0.000 11.550
Tl 0.000 2.343 3.425
Tl 2.343 0.000 3.425
Cd 0.000 0.000 13.590
Cd 2.343 2.343 1.385
Hg 0.000 0.000 9.164
Hg 2.343 2.343 5.812
```

3.
Compound: Y4SnTe2Se
Source: the Alexandria database
Functional: PBE-GGA
Structure: optimized geometry

## Properties
ΔE_f (raw), eV/atom: -1.329
Total magnetic moment, μB/f.u.: 0.000
VASP energy, eV/atom: -6.282

The structure in extended XYZ format:
```
8
Lattice="4.311 0.000 0.000 0.000 7.548 -0.176 0.000 2.630 6.946" Properties=species:S:1:pos:R:3 pbc="T T T"
Y 0.000 7.486 5.169
Y 4.311 2.692 1.601
Y 2.155 6.196 1.619
Y 2.155 3.982 5.151
Sn 0.000 5.089 3.385
Te 0.000 2.630 6.946
Te 2.155 1.315 3.473
Se 2.155 3.774 -0.088
```

4.
Compound: RuPb2Se
Source: the Alexandria database
Functional: PBE-GGA
Structure: optimized geometry

## Properties
ΔE_f (raw), eV/atom: 0.156
Total magnetic moment, μB/f.u.: 0.000
VASP energy, eV/atom: -4.889

The structure in extended XYZ format:
```
4
Lattice="-2.682 -1.849 -3.054 -2.529 -1.261 2.984 -3.939 3.856 1.124" Properties=species:S:1:pos:R:3 pbc="T T T"
Pb -6.091 2.308 3.951
Pb -3.309 -0.030 -0.341
Ru -3.761 1.149 2.606
Se -5.689 1.211 0.998
```

Which formula does entry 2 have? Na3Tl4Cd2Hg2